Record 1
ErTm6In2 | PBE | optimized geometry

Output
Calculated formation energy, kcal/mol of atoms: -4.7
Crystal system: monoclinic

a = 6.5202 Å, b = 6.5202 Å, c = 11.7774 Å
α = 107.48°, β = 107.48°, γ = 32.84°
Last column: nearest neighbours and their distance in Å.
Fractional coordinates of all 9 atoms:
Er1 0.0000 0.0000 0.0000  4 In 3.14
Tm1 0.0151 0.0151 0.3425  2 In 3.20, 7 Tm 3.46-3.54
Tm2 0.3123 0.3123 0.4171  2 In 3.26, 8 Tm 3.40-3.54
Tm3 0.3181 0.3181 0.1231  2 In 3.22, 5 Tm 3.41-3.49, 2 Er 3.57
Tm4 0.6819 0.6819 0.8769  2 In 3.22, 5 Tm 3.41-3.49, 2 Er 3.57
Tm5 0.6877 0.6877 0.5829  2 In 3.26, 8 Tm 3.40-3.54
Tm6 0.9849 0.9849 0.6575  2 In 3.20, 7 Tm 3.46-3.54
In1 0.3544 0.3544 0.7929  2 Er 3.14, 6 Tm 3.20-3.26
In2 0.6456 0.6456 0.2071  2 Er 3.14, 6 Tm 3.20-3.26

---

Record 2
ThCdNiHg | PBE | optimized geometry

Output
Calculated formation energy, kcal/mol of atoms: -3.3
Crystal system: cubic

a = 7.0669 Å, b = 7.0669 Å, c = 7.0669 Å
α = 90.00°, β = 90.00°, γ = 90.00°
Last column: nearest neighbours and their distance in Å.
Fractional coordinates of all 16 atoms:
Th1 0.0000 0.0000 0.0000  4 Hg 3.06, 4 Ni 3.06
Th2 0.0000 0.5000 0.5000  4 Hg 3.06, 4 Ni 3.06
Th3 0.5000 0.0000 0.5000  4 Hg 3.06, 4 Ni 3.06
Th4 0.5000 0.5000 0.0000  4 Hg 3.06, 4 Ni 3.06
Cd1 0.0000 0.0000 0.5000  4 Ni 3.06, 4 Hg 3.06
Cd2 0.0000 0.5000 0.0000  4 Ni 3.06, 4 Hg 3.06
Cd3 0.5000 0.0000 0.0000  4 Ni 3.06, 4 Hg 3.06
Cd4 0.5000 0.5000 0.5000  4 Ni 3.06, 4 Hg 3.06
Ni1 0.2500 0.2500 0.7500  4 Th 3.06, 4 Cd 3.06
Ni2 0.2500 0.7500 0.2500  4 Th 3.06, 4 Cd 3.06
Ni3 0.7500 0.2500 0.2500  4 Th 3.06, 4 Cd 3.06
Ni4 0.7500 0.7500 0.7500  4 Th 3.06, 4 Cd 3.06
Hg1 0.2500 0.2500 0.2500  4 Cd 3.06, 4 Th 3.06
Hg2 0.2500 0.7500 0.7500  4 Cd 3.06, 4 Th 3.06
Hg3 0.7500 0.2500 0.7500  4 Cd 3.06, 4 Th 3.06
Hg4 0.7500 0.7500 0.2500  4 Cd 3.06, 4 Th 3.06

---

Record 3
PuU2As3 | PBE | optimized geometry

Output
Calculated formation energy, kcal/mol of atoms: -18.9
Crystal system: monoclinic
Distance to the lowest polymorph of the same formula, meV/atom: 0

a = 6.9936 Å, b = 6.9936 Å, c = 7.2657 Å
α = 99.22°, β = 99.22°, γ = 120.00°
Last column: nearest neighbours and their distance in Å.
Fractional coordinates of all 12 atoms:
Pu1 0.1663 0.8337 0.0000  6 As 2.91-2.92
Pu2 0.8337 0.1663 0.0000  6 As 2.91-2.92
U1 0.0000 0.0000 0.5000  6 As 2.88-2.90
U2 0.3316 0.6684 0.5000  6 As 2.88-2.89
U3 0.5000 0.5000 0.0000  6 As 2.89
U4 0.6684 0.3316 0.5000  6 As 2.88-2.89
As1 0.0857 0.4162 0.7483  4 U 2.88-2.89, 2 Pu 2.91-2.92
As2 0.2543 0.2543 0.2532  4 U 2.89-2.90, 2 Pu 2.92
As3 0.4162 0.0857 0.7483  4 U 2.88-2.89, 2 Pu 2.91-2.92
As4 0.5838 0.9143 0.2517  4 U 2.88-2.89, 2 Pu 2.91-2.92
As5 0.7457 0.7457 0.7468  4 U 2.89-2.90, 2 Pu 2.92
As6 0.9143 0.5838 0.2517  4 U 2.88-2.89, 2 Pu 2.91-2.92

---

Record 4
V6PtW | PBE | optimized geometry

Output
Calculated formation energy, kcal/mol of atoms: 0.1
Crystal system: monoclinic

a = 5.0515 Å, b = 8.8417 Å, c = 5.2234 Å
α = 90.00°, β = 100.56°, γ = 90.00°
Last column: nearest neighbours and their distance in Å.
Fractional coordinates of all 16 atoms:
V1 0.0206 0.0000 0.2615  1 W 2.51, 6 V 2.52-2.70, 1 Pt 2.73
V2 0.2276 0.2471 0.7420  6 V 2.52-2.66, 1 W 2.72, 1 Pt 2.79
V3 0.2276 0.7529 0.7420  6 V 2.52-2.66, 1 W 2.72, 1 Pt 2.79
V4 0.2724 0.2529 0.2580  6 V 2.52-2.66, 1 W 2.72, 1 Pt 2.79
V5 0.2724 0.7471 0.2580  6 V 2.52-2.66, 1 W 2.72, 1 Pt 2.79
V6 0.4794 0.5000 0.7385  1 W 2.51, 6 V 2.52-2.70, 1 Pt 2.73
V7 0.5206 0.5000 0.2615  1 W 2.51, 6 V 2.52-2.70, 1 Pt 2.73
V8 0.7276 0.2529 0.7420  6 V 2.52-2.66, 1 W 2.72, 1 Pt 2.79
V9 0.7276 0.7471 0.7420  6 V 2.52-2.66, 1 W 2.72, 1 Pt 2.79
V10 0.7724 0.2471 0.2580  6 V 2.52-2.66, 1 W 2.72, 1 Pt 2.79
V11 0.7724 0.7529 0.2580  6 V 2.52-2.66, 1 W 2.72, 1 Pt 2.79
V12 0.9794 0.0000 0.7385  1 W 2.51, 6 V 2.52-2.70, 1 Pt 2.73
Pt1 0.0000 0.5000 0.0000  2 W 2.61, 6 V 2.73-2.79
Pt2 0.5000 0.0000 0.0000  2 W 2.61, 6 V 2.73-2.79
W1 0.0000 0.5000 0.5000  6 V 2.51-2.72, 2 Pt 2.61
W2 0.5000 0.0000 0.5000  6 V 2.51-2.72, 2 Pt 2.61